Entry 1:
The following is a GGA-PBE calculation of a relaxed structure of K2MgSO6, from the Alexandria database.

- energy relative to the elements, uncorrected (meV/atom) = -1334.1

Unit cell a=5.993 b=5.993 c=5.153 alpha=90.00 beta=90.00 gamma=120.00
Sites, in units of the cell vectors:
K 0.333 0.667 0.335
K 0.667 0.333 0.665
Mg 0.000 0.000 0.000
S 0.000 0.000 0.500
O 0.130 0.259 0.691
O 0.130 0.870 0.691
O 0.259 0.130 0.309
O 0.741 0.870 0.691
O 0.870 0.130 0.309
O 0.870 0.741 0.309

Entry 2:
The following is a GGA-PBE calculation of a relaxed structure of TlRe2Se, from the Alexandria database.

- relative energy among the computed polymorphs (meV/atom) = 537.4
- energy relative to the elements, uncorrected (meV/atom) = 918.1

Unit cell a=5.775 b=5.775 c=5.775 alpha=149.30 beta=132.09 gamma=57.99
Sites, in units of the cell vectors:
Tl 0.000 0.000 0.000
Re 0.498 0.498 0.000
Re 0.711 0.211 0.500
Se 0.282 0.782 0.500

Entry 3:
The following is a GGA-PBE calculation of a relaxed structure of PaV2Ru, from the Alexandria database.

- relative energy among the computed polymorphs (meV/atom) = 512.8

Unit cell a=10.064 b=10.064 c=10.064 alpha=16.21 beta=16.21 gamma=16.21
Sites, in units of the cell vectors:
Pa 0.000 0.000 0.000
V 0.424 0.424 0.424
V 0.576 0.576 0.576
Ru 0.500 0.500 0.500

Entry 4:
The following is a GGA-PBE calculation of a relaxed structure of LaCdRe2P, from the Alexandria database.

- total energy (eV/cell) = -33.71

Unit cell a=4.579 b=4.579 c=4.943 alpha=90.00 beta=90.00 gamma=90.00
Sites, in units of the cell vectors:
La 0.000 0.000 0.000
Cd 0.500 0.500 0.000
Re 0.000 0.500 0.500
Re 0.500 0.000 0.500
P 0.500 0.500 0.500

Entry 5:
The following is a GGA-PBE calculation of a relaxed structure of Mg2ZrTi, from the Alexandria database.

- relative energy among the computed polymorphs (meV/atom) = 0.0

Unit cell a=3.008 b=3.008 c=9.456 alpha=90.00 beta=90.00 gamma=90.00
Sites, in units of the cell vectors:
Mg 0.000 0.000 0.000
Mg 0.500 0.500 0.260
Zr 0.000 0.000 0.530
Ti 0.500 0.500 0.750

Entry 6:
The following is a GGA-PBE calculation of a relaxed structure of Zn3RePt, from the Alexandria database.

- relative energy among the computed polymorphs (meV/atom) = 0.0

Unit cell a=4.723 b=4.723 c=4.723 alpha=90.00 beta=90.00 gamma=90.00
Sites, in units of the cell vectors:
Zn 0.000 0.000 0.500
Zn 0.000 0.500 0.000
Zn 0.500 0.000 0.000
Re 0.500 0.500 0.500
Pt 0.000 0.000 0.000

Entry 7:
The following is a GGA-PBE calculation of a relaxed structure of CaAl2ZnCo, from the Alexandria database.

- total energy (eV/cell) = -19.05

Unit cell a=4.514 b=4.514 c=4.699 alpha=90.00 beta=90.00 gamma=90.00
Sites, in units of the cell vectors:
Ca 0.000 0.000 0.000
Al 0.000 0.500 0.500
Al 0.500 0.000 0.500
Zn 0.500 0.500 0.000
Co 0.500 0.500 0.500

Entry 8:
The following is a GGA-PBE calculation of a relaxed structure of SrTm3Tc, from the Alexandria database.

- total energy (eV/cell) = -25.27

Unit cell a=5.433 b=5.433 c=5.433 alpha=90.00 beta=90.00 gamma=90.00
Sites, in units of the cell vectors:
Sr 0.000 0.000 0.000
Tm 0.000 0.500 0.500
Tm 0.500 0.000 0.500
Tm 0.500 0.500 0.000
Tc 0.500 0.500 0.500

Entry 9:
The following is a GGA-PBE calculation of a relaxed structure of TbBe3Au10, from the Alexandria database.

- total energy (eV/cell) = -104.85

Unit cell a=8.783 b=8.783 c=8.783 alpha=60.00 beta=60.00 gamma=60.00
Sites, in units of the cell vectors:
Tb 0.250 0.250 0.250
Tb 0.750 0.750 0.750
Be 0.236 0.236 0.764
Be 0.236 0.764 0.236
Be 0.236 0.764 0.764
Be 0.764 0.236 0.236
Be 0.764 0.236 0.764
Be 0.764 0.764 0.236
Au 0.114 0.114 0.114
Au 0.114 0.114 0.658
Au 0.114 0.658 0.114
Au 0.161 0.500 0.500
Au 0.161 0.500 0.839
Au 0.161 0.839 0.500
Au 0.342 0.886 0.886
Au 0.500 0.161 0.500
Au 0.500 0.161 0.839
Au 0.500 0.500 0.161
Au 0.500 0.500 0.839
Au 0.500 0.839 0.161
Au 0.500 0.839 0.500
Au 0.658 0.114 0.114
Au 0.839 0.161 0.500
Au 0.839 0.500 0.161
Au 0.839 0.500 0.500
Au 0.886 0.342 0.886
Au 0.886 0.886 0.342
Au 0.886 0.886 0.886

Entry 10:
The following is a GGA-PBE calculation of a relaxed structure of Ga2Pd13, from the Alexandria database.

- total energy (eV/cell) = -77.29

Unit cell a=4.869 b=6.348 c=8.072 alpha=71.78 beta=74.85 gamma=82.07
Sites, in units of the cell vectors:
Ga 0.149 0.285 0.461
Ga 0.851 0.715 0.539
Pd 0.000 0.500 0.000
Pd 0.057 0.906 0.724
Pd 0.209 0.689 0.215
Pd 0.260 0.100 0.936
Pd 0.301 0.502 0.656
Pd 0.419 0.895 0.398
Pd 0.474 0.301 0.138
Pd 0.526 0.699 0.862
Pd 0.581 0.105 0.602
Pd 0.699 0.498 0.344
Pd 0.740 0.900 0.064
Pd 0.791 0.311 0.785
Pd 0.943 0.094 0.276

Entry 11:
The following is a GGA-PBE calculation of a relaxed structure of Pm4SmPb5, from the Alexandria database.

- total energy (eV/cell) = -47.31

Unit cell a=3.586 b=3.586 c=22.995 alpha=90.00 beta=90.00 gamma=90.00
Sites, in units of the cell vectors:
Pm 0.000 0.000 0.100
Pm 0.000 0.000 0.300
Pm 0.000 0.000 0.700
Pm 0.000 0.000 0.900
Sm 0.000 0.000 0.500
Pb 0.500 0.500 0.000
Pb 0.500 0.500 0.200
Pb 0.500 0.500 0.401
Pb 0.500 0.500 0.599
Pb 0.500 0.500 0.800

Entry 12:
The following is a GGA-PBE calculation of a relaxed structure of NaAgB2Cl8, from the Alexandria database.

- energy relative to the elements, uncorrected (meV/atom) = -957.5

Unit cell a=9.540 b=9.540 c=9.540 alpha=37.07 beta=37.07 gamma=37.07
Sites, in units of the cell vectors:
Na 0.000 0.000 0.000
Ag 0.500 0.500 0.500
B 0.254 0.254 0.254
B 0.746 0.746 0.746
Cl 0.048 0.466 0.794
Cl 0.206 0.952 0.534
Cl 0.323 0.323 0.323
Cl 0.466 0.794 0.048
Cl 0.534 0.206 0.952
Cl 0.677 0.677 0.677
Cl 0.794 0.048 0.466
Cl 0.952 0.534 0.206

Entry 13:
The following is a GGA-PBE calculation of a relaxed structure of BeAg2Ru, from the Alexandria database.

- total energy (eV/cell) = -17.10

Unit cell a=8.929 b=8.929 c=8.929 alpha=17.81 beta=17.81 gamma=17.81
Sites, in units of the cell vectors:
Be 0.000 0.000 0.000
Ag 0.259 0.259 0.259
Ag 0.741 0.741 0.741
Ru 0.500 0.500 0.500

Entry 14:
The following is a GGA-PBE calculation of a relaxed structure of PmMgGa4Pt2, from the Alexandria database.

- total energy (eV/cell) = -35.73

Unit cell a=9.185 b=9.185 c=9.185 alpha=27.51 beta=27.51 gamma=27.51
Sites, in units of the cell vectors:
Pm 0.000 0.000 0.000
Mg 0.500 0.500 0.500
Ga 0.123 0.123 0.123
Ga 0.395 0.395 0.395
Ga 0.605 0.605 0.605
Ga 0.877 0.877 0.877
Pt 0.230 0.230 0.230
Pt 0.770 0.770 0.770

Entry 15:
The following is a GGA-PBE calculation of a relaxed structure of Mn3AlHg, from the Alexandria database.

- relative energy among the computed polymorphs (meV/atom) = 0.0

Unit cell a=4.574 b=4.574 c=4.574 alpha=90.00 beta=90.00 gamma=90.00
Sites, in units of the cell vectors:
Mn 0.000 0.000 0.500
Mn 0.000 0.500 0.000
Mn 0.500 0.000 0.000
Al 0.000 0.000 0.000
Hg 0.500 0.500 0.500

Entry 16:
The following is a GGA-PBE calculation of a relaxed structure of Pr2Dy3In2, from the Alexandria database.

- total energy (eV/cell) = -30.69

Unit cell a=8.762 b=8.762 c=8.762 alpha=36.46 beta=36.46 gamma=36.46
Sites, in units of the cell vectors:
Pr 0.078 0.078 0.078
Pr 0.922 0.922 0.922
Dy 0.348 0.348 0.348
Dy 0.500 0.500 0.500
Dy 0.652 0.652 0.652
In 0.218 0.218 0.218
In 0.782 0.782 0.782

Entry 17:
The following is a GGA-PBE calculation of a relaxed structure of HgSb2CI, from the Alexandria database.

- relative energy among the computed polymorphs (meV/atom) = 0.0
- energy relative to the elements, uncorrected (meV/atom) = 1040.0

Unit cell a=4.883 b=4.883 c=5.138 alpha=90.00 beta=90.00 gamma=90.00
Sites, in units of the cell vectors:
Hg 0.000 0.000 0.000
Sb 0.000 0.500 0.500
Sb 0.500 0.000 0.500
C 0.500 0.500 0.500
I 0.500 0.500 0.000

Entry 18:
The following is a GGA-PBE calculation of a relaxed structure of OsPbSe2, from the Alexandria database.

- energy relative to the elements, uncorrected (meV/atom) = 136.0

Unit cell a=4.057 b=4.057 c=6.603 alpha=107.92 beta=107.92 gamma=60.06
Sites, in units of the cell vectors:
Os 0.000 0.000 0.000
Pb 0.500 0.500 0.500
Se 0.276 0.276 0.828
Se 0.724 0.724 0.172

Entry 19:
The following is a GGA-PBE calculation of a relaxed structure of CdNiPt, from the Alexandria database.

- relative energy among the computed polymorphs (meV/atom) = 19.6

Unit cell a=5.013 b=5.013 c=5.013 alpha=147.04 beta=136.65 gamma=55.52
Sites, in units of the cell vectors:
Cd 0.000 0.000 0.000
Ni 0.675 0.675 0.000
Pt 0.315 0.315 0.000

Entry 20:
The following is a GGA-PBE calculation of a relaxed structure of TaReAg2, from the Alexandria database.

- relative energy among the computed polymorphs (meV/atom) = 670.8

Unit cell a=4.572 b=4.572 c=4.572 alpha=60.00 beta=60.00 gamma=60.00
Sites, in units of the cell vectors:
Ta 0.000 0.000 0.000
Re 0.500 0.500 0.500
Ag 0.250 0.250 0.250
Ag 0.750 0.750 0.750

These records have N(E_F) values of 6.3 2.5 7.3 5.4 2.7 3.2 3.8 4.1 10.2 22.7 8.8 0.0 2.3 2.2 3.4 6.4 4.0 0.9 4.2 5.9 states/eV per cell, in the order they appear.